# 1
A relaxed structure of ScZnSe2, computed with PBE-GGA.

abc: 8.2107 8.2107 8.2107
angles: 27.51 27.51 27.51
Last column: nearest neighbours and their distance in Å.
Positions (direct):
Se: 0.1030 0.1030 0.1030  1 Zn 2.44, 3 Sc 2.71
Se: 0.8970 0.8970 0.8970  1 Zn 2.44, 3 Sc 2.71
Sc: 0.5000 0.5000 0.5000  6 Se 2.71
Zn: 0.0000 0.0000 0.0000  2 Se 2.44

Results
density = 4.3 g cm⁻³
space-group type = R-3m
E_form (uncorrected) = -3.780 eV per formula unit
volume = 104.3 Å³/f.u.

=====

# 2
A relaxed structure of ScZn2Se, computed with PBE-GGA.

abc: 7.4210 7.4210 7.4210
angles: 28.83 28.83 28.83
Last column: nearest neighbours and their distance in Å.
Positions (direct):
Se: 0.2500 0.2500 0.2500  6 Zn 2.65
Zn: 0.5096 0.5096 0.5096  3 Se 2.65, 3 Sc 2.91
Zn: 0.9904 0.9904 0.9904  3 Se 2.65, 3 Sc 2.91
Sc: 0.7500 0.7500 0.7500  6 Zn 2.91

Results
density = 5.0 g cm⁻³
space-group type = R-3m
E_form (uncorrected) = -0.688 eV per formula unit
volume = 84.1 Å³/f.u.

=====

# 3
A relaxed structure of ScZnSe, computed with PBE-GGA.

abc: 3.7049 3.7049 5.6737
angles: 90.00 90.00 120.00
Last column: nearest neighbours and their distance in Å.
Positions (direct):
Sc: 0.0000 0.0000 0.0281  3 Se 2.65, 3 Zn 2.95
Zn: 0.6667 0.3333 0.6696  3 Sc 2.95, 3 Se 2.99
Se: 0.3333 0.6667 0.3023  3 Sc 2.65

Results
density = 4.7 g cm⁻³
distance to the lowest polymorph of the same formula = 333 meV per atom
space-group type = P3m1
E_form (uncorrected) = -1.923 eV per formula unit
volume = 67.4 Å³/f.u.

=====

# 4
A relaxed structure of ScZnSe4, computed with PBE-GGA.

abc: 5.7166 5.7166 5.7166
angles: 60.00 60.00 60.00
Last column: nearest neighbours and their distance in Å.
Positions (direct):
Sc: 0.0000 0.0000 0.0000  12 Se 3.35, 4 Zn 3.50
Se: 0.3749 0.8754 0.3749  6 Se 2.86
Se: 0.3749 0.3749 0.3749  6 Se 2.86
Se: 0.8754 0.3749 0.3749  6 Se 2.86
Se: 0.3749 0.3749 0.8754  6 Se 2.86
Zn: 0.7500 0.7500 0.7500  12 Se 3.35, 4 Sc 3.50

Results
density = 5.4 g cm⁻³
space-group type = F-43m
E_form (uncorrected) = 1.034 eV per formula unit
volume = 132.1 Å³/f.u.

=====

# 5
A relaxed structure of ScZn2Se, computed with PBE-GGA.

abc: 7.8121 7.8121 7.8121
angles: 26.82 26.82 26.82
Last column: nearest neighbours and their distance in Å.
Positions (direct):
Zn: 0.0063 0.0063 0.0063  3 Zn 2.66
Zn: 0.7455 0.7455 0.7455  3 Zn 2.66, 3 Sc 2.97
Sc: 0.5056 0.5056 0.5056  3 Se 2.63
Se: 0.2426 0.2426 0.2426  3 Sc 2.63

Results
density = 4.9 g cm⁻³
space-group type = R3m
E_form (uncorrected) = -1.748 eV per formula unit
volume = 85.6 Å³/f.u.

=====

# 6
A relaxed structure of ScZnSe2, computed with PBE-GGA.

abc: 3.8395 3.8395 5.6036
angles: 90.00 90.00 90.00
Last column: nearest neighbours and their distance in Å.
Positions (direct):
Se: 0.5000 0.5000 0.3735  4 Zn 2.72, 2 Sc 2.80
Se: 0.0000 0.0000 0.8749  4 Sc 2.71, 2 Zn 2.78-2.82
Sc: 0.5000 0.5000 0.8731  6 Se 2.71-2.80
Zn: 0.0000 0.0000 0.3785  6 Se 2.72-2.82

Results
density = 5.4 g cm⁻³
space-group type = P4mm
E_form (uncorrected) = -4.121 eV per formula unit
volume = 82.6 Å³/f.u.

=====

# 7
A relaxed structure of ScZn2Se, computed with PBE-GGA.

abc: 4.7313 4.7313 4.7313
angles: 60.00 60.00 60.00
Last column: nearest neighbours and their distance in Å.
Positions (direct):
Se: 0.2500 0.2500 0.2500  4 Sc 2.90, 4 Zn 2.90
Zn: 0.7500 0.7500 0.7500  4 Sc 2.90, 4 Zn 2.90
Zn: 0.0000 0.0000 0.0000  4 Se 2.90, 4 Zn 2.90
Sc: 0.5000 0.5000 0.5000  4 Zn 2.90, 4 Se 2.90

Results
density = 5.6 g cm⁻³
space-group type = F-43m
E_form (uncorrected) = -1.175 eV per formula unit
volume = 74.9 Å³/f.u.

=====

# 8
A relaxed structure of Sc6ZnSe5, computed with PBE-GGA.

abc: 6.7046 6.7242 6.7164
angles: 59.96 80.38 70.49
Last column: nearest neighbours and their distance in Å.
Positions (direct):
Sc: 0.7556 0.7571 0.0000  1 Zn 2.67, 5 Se 2.74-2.81
Sc: 0.7566 0.0805 0.3254  1 Zn 2.67, 5 Se 2.74-2.78
Sc: 0.2434 0.9195 0.6746  1 Zn 2.67, 5 Se 2.74-2.78
Sc: 0.7566 0.4058 0.6746  1 Zn 2.67, 5 Se 2.74-2.78
Sc: 0.2444 0.2429 0.0000  1 Zn 2.67, 5 Se 2.74-2.81
Sc: 0.2434 0.5942 0.3254  1 Zn 2.67, 5 Se 2.74-2.78
Se: 0.5000 0.1701 0.6598  6 Sc 2.74-2.78
Se: 0.0000 0.6657 0.6686  6 Sc 2.74-2.75
Se: 0.5000 0.5000 0.0000  6 Sc 2.75-2.81
Se: 0.0000 0.3343 0.3314  6 Sc 2.74-2.75
Se: 0.5000 0.8299 0.3402  6 Sc 2.74-2.78
Zn: 0.0000 0.0000 0.0000  6 Sc 2.67

Results
density = 4.9 g cm⁻³
space-group type = C2/m
E_form (uncorrected) = -16.696 eV per formula unit
volume = 247.1 Å³/f.u.